Entry 1:
Ac6As2IrSe3 (PBE-GGA, relaxed); crystal system = monoclinic; space-group type = C2/m; DFT total energy = -72.05 eV per cell; formation energy (no corrections) = -1565.8 meV/atom
1.0
4.453 0.000 0.000
0.000 9.126 0.322
-2.226 -2.633 9.420
Ac As Ir Se
6 2 1 3
Direct
0.343 0.915 0.685
0.669 0.579 0.337
0.657 0.085 0.315
0.000 0.232 0.001
0.000 0.768 0.999
0.331 0.421 0.663
0.834 0.664 0.668
0.166 0.336 0.332
0.500 0.000 0.000
0.500 0.500 0.000
0.829 0.167 0.658
0.171 0.833 0.342

Entry 2:
Ca5Pd2Pt (PBE-GGA, relaxed); crystal system = tetragonal; space-group type = I4/mcm; DFT total energy = -63.63 eV per cell; E_form = -0.673 eV/atom
1.0
6.880 0.000 -3.248
-1.533 6.707 -3.248
0.015 0.019 8.942
Ca Pd Pt
10 4 2
Direct
0.527 0.683 0.710
0.817 0.973 0.290
0.000 0.000 0.000
0.500 0.500 0.000
0.183 0.027 0.710
0.683 0.183 0.710
0.027 0.527 0.710
0.317 0.817 0.290
0.973 0.473 0.290
0.473 0.317 0.290
0.127 0.373 0.000
0.627 0.127 0.000
0.373 0.873 0.000
0.873 0.627 0.000
0.750 0.750 0.500
0.250 0.250 0.500

Entry 3:
CsSb2Cl2 (PBE-GGA, relaxed); E above lowest polymorph = 0.0 meV/atom; crystal system = tetragonal; space-group type = I4/mmm; DFT total energy = -16.27 eV per cell; formation energy (no corrections) = -695.2 meV/atom
1.0
4.285 0.000 0.000
0.000 4.285 0.000
2.142 2.142 9.221
Cs Sb Cl
1 2 2
Direct
0.000 0.000 0.000
0.750 0.250 0.500
0.250 0.750 0.500
0.394 0.394 0.212
0.606 0.606 0.788

Entry 4:
Tm2ZnF (PBE-GGA, relaxed); crystal system = trigonal; space-group type = R-3m; DFT total energy = -15.10 eV per cell; formation energy (no corrections) = -752.1 meV/atom
1.0
-0.126 0.234 -3.284
-1.040 -2.560 -1.795
-9.280 2.437 -1.124
Zn Tm F
1 2 1
Direct
0.000 0.000 0.000
0.103 0.103 0.690
0.897 0.897 0.310
0.500 0.500 0.500

Entry 5:
CuSi (PBE-GGA, relaxed); crystal system = cubic; space-group type = Pm-3n; DFT total energy = -48.71 eV per cell; formation energy (no corrections) = 700.1 meV/atom
1.0
6.516 0.000 0.000
0.000 6.516 0.000
0.000 0.000 6.516
Cu Si
6 6
Direct
0.250 0.500 0.000
0.750 0.500 0.000
0.500 0.000 0.250
0.500 0.000 0.750
0.000 0.250 0.500
0.000 0.750 0.500
0.250 0.000 0.500
0.750 0.000 0.500
0.000 0.500 0.250
0.000 0.500 0.750
0.500 0.250 0.000
0.500 0.750 0.000

Entry 6:
ErPuF6 (PBE-GGA, relaxed); crystal system = monoclinic; space-group type = C2/m; DFT total energy = -60.42 eV per cell; formation energy (no corrections) = -3787.0 meV/atom
1.0
-2.980 -4.840 0.550
-0.512 -1.560 -5.509
3.359 -2.973 -2.469
Er Pu F
1 1 6
Direct
0.000 0.000 0.000
0.500 0.500 0.000
0.751 0.382 0.687
0.751 0.069 0.313
0.249 0.931 0.687
0.249 0.618 0.313
0.773 0.740 0.000
0.227 0.260 0.000

Entry 7:
Ge2PbN (PBE-GGA, relaxed); E above lowest polymorph = 0.0 meV/atom; crystal system = tetragonal; space-group type = I-42d; DFT total energy = -38.71 eV per cell; formation energy (no corrections) = 478.3 meV/atom
1.0
6.434 0.000 0.000
0.000 6.434 0.000
3.217 3.217 3.892
Pb Ge N
2 4 2
Direct
0.000 0.000 0.000
0.750 0.250 0.500
0.513 0.125 0.250
0.237 0.625 0.250
0.375 0.487 0.750
0.875 0.763 0.750
0.500 0.500 0.000
0.250 0.750 0.500

Entry 8:
Pr2ErZn (PBE-GGA, relaxed); E above lowest polymorph = 24.6 meV/atom; crystal system = tetragonal; space-group type = P4/mmm; DFT total energy = -15.91 eV per cell; E_form = -0.129 eV/atom
1.0
-0.714 -1.774 -3.152
3.393 0.783 -1.209
2.965 -7.427 3.510
Pr Zn Er
2 1 1
Direct
0.000 0.000 0.786
0.000 0.000 0.214
0.500 0.500 0.000
0.500 0.500 0.500